#i
Cu3AgPd6 PBE relaxed; symmetry = P2_1/m, No. 11
1.0
3.9458 0.0000 0.0000
0.0000 8.4121 -1.3739
0.0000 1.1346 8.6714
Pd Cu Ag
12 6 2
Cartesian
2.9594 2.2052 5.9847 Pd
0.9865 6.0967 5.1571 Pd
2.9594 7.9860 5.7611 Pd
0.9865 2.8544 4.0832 Pd
0.9865 1.4831 7.7800 Pd
0.9865 1.5607 1.5365 Pd
2.9594 5.5584 7.0526 Pd
2.9594 8.0637 -0.4824 Pd
0.9865 3.9883 0.2449 Pd
0.9865 7.3415 1.3128 Pd
2.9594 6.6923 3.2143 Pd
2.9594 3.4500 2.1405 Pd
0.9865 3.8533 6.5704 Cu
0.9865 7.4057 7.5439 Cu
2.9594 5.6934 0.7271 Cu
0.9865 5.0841 2.6833 Cu
2.9594 2.1410 -0.2464 Cu
2.9594 4.4626 4.6143 Cu
2.9594 0.9062 3.4076 Ag
0.9865 8.6405 3.8899 Ag

---

#ii
Cu3AgPd6 PBE relaxed; symmetry = P2_1/c, No. 14
1.0
7.1959 0.0000 -0.2068
0.0000 6.1214 0.0000
-0.1139 0.0000 7.0191
Pd Cu Ag
12 6 2
Cartesian
6.0215 3.9648 3.7808 Pd
1.1800 2.4404 0.3565 Pd
5.7475 2.1309 1.6712 Pd
1.0604 2.1566 3.0315 Pd
2.3610 5.5011 3.0496 Pd
1.3345 3.9904 5.1411 Pd
4.9895 5.1916 1.5281 Pd
4.6014 0.9041 6.4377 Pd
2.4805 5.2173 0.3747 Pd
2.0925 0.9298 5.2842 Pd
5.9020 3.6809 6.4558 Pd
4.7209 0.6202 3.7627 Pd
6.7611 1.8102 4.9601 Cu
0.3209 4.3112 1.8522 Cu
-0.0570 0.0000 3.5096 Cu
3.8619 4.8709 5.2584 Cu
3.5980 3.0607 -0.1034 Cu
3.2201 1.2505 1.5539 Cu
0.0000 0.0000 0.0000 Ag
3.5410 3.0607 3.4062 Ag

---

Most stable structure, least stable structure: #i, #ii.

---

#i
CuAg6Pd2 PBE relaxed; symmetry = C2/c, No. 15
1.0
-4.0289 4.6903 -3.5115
-4.2973 4.3093 4.2842
3.2558 5.6553 2.8248
Pd Ag Cu
4 12 2
Cartesian
0.0508 7.4251 0.6827 Pd
-1.1370 5.3183 2.3692 Pd
-3.9334 9.3366 1.2283 Pd
-5.1212 7.2298 2.9147 Pd
-2.3832 10.9003 3.0834 Ag
-3.6313 8.9287 4.6505 Ag
-1.4391 5.7262 -1.0530 Ag
-3.2824 6.5356 0.9429 Ag
-2.8712 6.1694 4.3650 Ag
-2.6872 3.7546 0.5140 Ag
-1.7880 8.1193 2.6545 Ag
-3.9529 4.5082 -1.9694 Ag
-0.3874 7.4197 5.1429 Ag
-4.6829 7.2351 -1.5454 Ag
-1.1174 10.1467 5.5668 Ag
-2.1992 8.4854 -0.7675 Ag
-6.1930 8.0625 0.6226 Cu
1.1226 6.5923 2.9748 Cu

---

#ii
CuAg6Pd2 PBE relaxed; symmetry = C2/m, No. 12
1.0
-3.3524 2.2631 -0.1457
-0.4866 -4.4758 -2.1092
-3.7575 -5.1900 5.8411
Pd Cu Ag
2 1 6
Cartesian
-1.6501 -2.5174 -1.1362 Pd
-5.9464 -4.8852 4.7224 Pd
-1.8788 -2.5950 2.9206 Cu
-2.9121 -4.2605 0.8267 Ag
-4.6844 -3.1422 2.7595 Ag
-3.4395 -1.4218 0.8368 Ag
-6.9625 -6.5256 2.6222 Ag
-0.6340 -0.8771 0.9640 Ag
-4.1571 -5.9809 2.7494 Ag

---

Most stable structure, least stable structure: #ii, #i.